# Sm3TmBi3 GGA-PBE optimized geometry
data_Sm3TmBi3
_space_group_name_H-M_alt 'R -3'
_space_group_IT_number 148
_space_group_name_Hall '-R 3'
_cell_length_a 9.2040
_cell_length_b 9.2040
_cell_length_c 19.1385
_cell_angle_alpha 90.00
_cell_angle_beta 90.00
_cell_angle_gamma 120.00
loop_
_atom_site_label
_atom_site_type_symbol
_atom_site_fract_x
_atom_site_fract_y
_atom_site_fract_z
Sm1 Sm 0.0026 0.7444 0.0837
Tm1 Tm 0.0000 0.0000 0.3327
Bi1 Bi 0.0027 0.6086 0.9181
# N(E_F) = 0.80 states/eV/atom
# Size of the total moment = 0.000 μB/f.u.
# Energy = -5.002 eV/atom
# Crystal system = trigonal